The following is a DFT calculation (GGA+U) of crystalline MnCu2F6 at its relaxed geometry.

Cell: 4.637 5.872 8.650 Å, 90.00 90.00 90.00°
Element x y z (fractional)
Mn: 0.000 0.000 0.000
Mn: 0.500 0.500 0.500
Cu: 0.000 0.500 0.178
Cu: 0.000 0.500 0.822
Cu: 0.500 0.000 0.322
Cu: 0.500 0.000 0.678
F: 0.190 0.344 0.000
F: 0.238 0.349 0.326
F: 0.238 0.349 0.674
F: 0.262 0.849 0.174
F: 0.262 0.849 0.826
F: 0.310 0.844 0.500
F: 0.690 0.156 0.500
F: 0.738 0.151 0.174
F: 0.738 0.151 0.826
F: 0.762 0.651 0.326
F: 0.762 0.651 0.674
F: 0.810 0.656 0.000

E_tot in eV/atom: -4.852
Mass density in g/cm³: 4.17
Distance to the lowest polymorph of the same formula in meV per atom: 0.0
Symmetry: No. 58